# Pa4C3O

A geometry-optimized Pa4C3O structure (PBE, the Alexandria database).

Summary:
As for the polymorph energy (0 for the lowest one): 0.030 eV/atom. The space group is Pm-3m, No. 221. Its raw formation energy is -1042 meV per atom. The calculation puts the total energy at -9.8687 eV/atom.

a b c (Å): 5.0463 5.0463 5.0463
angles (deg): 90.00 90.00 90.00
Element x y z (fractional)
1 Pa 0.5000 0.0000 0.0000
2 Pa 0.0000 0.5000 0.0000
3 Pa 0.0000 0.0000 0.5000
4 Pa 0.5000 0.5000 0.5000
5 C 0.0000 0.5000 0.5000
6 C 0.5000 0.0000 0.5000
7 C 0.5000 0.5000 0.0000
8 O 0.0000 0.0000 0.0000


# NpHgPb2

A geometry-optimized NpHgPb2 structure (PBE, the Alexandria database).

Summary:
As for the polymorph energy (0 for the lowest one): 0.507 eV/atom. The space group is R-3m, No. 166. The formation energy is 680 meV per atom. The calculation puts the total energy at -4.4849 eV/atom.

a b c (Å): 5.3203 5.3203 8.3843
angles (deg): 71.50 71.50 60.00
Last column: magnetic moment on the atom in μB.
Element x y z (fractional)
1 Np 0.5000 0.5000 0.5000  4.34
2 Pb 0.1279 0.1279 0.6164  0.06
3 Pb 0.8721 0.8721 0.3836  0.06
4 Hg 0.0000 0.0000 0.0000  0.01


# LaErCo4

A geometry-optimized LaErCo4 structure (PBE, the Alexandria database).

Summary:
The space group is F-43m, No. 216. The formation energy is -115 meV per atom. The calculation puts the total energy at -6.4335 eV/atom.

a b c (Å): 5.1228 5.1228 5.1228
angles (deg): 60.00 60.00 60.00
Last column: magnetic moment on the atom in μB.
Element x y z (fractional)
1 La 0.2500 0.2500 0.2500  -0.20
2 Co 0.6257 0.6257 0.1228  1.10
3 Co 0.6257 0.1228 0.6257  1.10
4 Co 0.6257 0.6257 0.6257  1.10
5 Co 0.1228 0.6257 0.6257  1.10
6 Er 0.0000 0.0000 0.0000  -0.34


# VMo3W

A geometry-optimized VMo3W structure (PBE, the Alexandria database).

Summary:
As for the polymorph energy (0 for the lowest one): 1.495 eV/atom. The space group is Pm-3m, No. 221. The formation energy is 1405 meV per atom. The calculation puts the total energy at -9.5076 eV/atom.

a b c (Å): 4.4493 4.4493 4.4493
angles (deg): 90.00 90.00 90.00
Element x y z (fractional)
1 Mo 0.0000 0.5000 0.0000
2 Mo 0.0000 0.0000 0.5000
3 Mo 0.5000 0.0000 0.0000
4 W 0.5000 0.5000 0.5000
5 V 0.0000 0.0000 0.0000


# HoMgTiZn

A geometry-optimized HoMgTiZn structure (PBE, the Alexandria database).

Summary:
The space group is F-43m, No. 216. The formation energy is 27 meV per atom. The calculation puts the total energy at -3.8088 eV/atom.

a b c (Å): 4.8858 4.8858 4.8858
angles (deg): 60.00 60.00 60.00
Last column: magnetic moment on the atom in μB.
Element x y z (fractional)
1 Mg 0.0000 0.0000 0.0000  0.00
2 Zn 0.5000 0.5000 0.5000  -0.01
3 Ho 0.7500 0.7500 0.7500  0.09
4 Ti 0.2500 0.2500 0.2500  0.59


# TaVW2

A geometry-optimized TaVW2 structure (PBE, the Alexandria database).

Summary:
As for the polymorph energy (0 for the lowest one): 0.480 eV/atom. The space group is Cmcm, No. 63. The formation energy is 418 meV per atom. The calculation puts the total energy at -11.3010 eV/atom.

a b c (Å): 2.9707 4.7997 9.4936
angles (deg): 90.00 99.00 90.00
Element x y z (fractional)
1 Ta 0.3815 0.2500 0.7630
2 Ta 0.6185 0.7500 0.2370
3 V 0.1470 0.2500 0.2940
4 V 0.8530 0.7500 0.7060
5 W 0.7543 0.2500 0.5086
6 W 0.2457 0.7500 0.4914
7 W 0.0178 0.2500 0.0355
8 W 0.9822 0.7500 0.9645


# Ca2AlCu6Ni

A geometry-optimized Ca2AlCu6Ni structure (PBE, the Alexandria database).

Summary:
The space group is P-1, No. 2. The formation energy is -24 meV per atom. The calculation puts the total energy at -3.8340 eV/atom.

a b c (Å): 6.3300 6.3688 6.4409
angles (deg): 58.91 60.48 90.25
Element x y z (fractional)
1 Ca 0.7897 0.2097 0.4215
2 Ca 0.2104 0.7903 0.5785
3 Al 0.0000 0.0000 0.0000
4 Cu 0.2400 0.3592 0.4995
5 Cu 0.6368 0.7415 0.1213
6 Cu 0.2582 0.7586 0.1019
7 Cu 0.7418 0.2414 0.8981
8 Cu 0.3632 0.2585 0.8787
9 Cu 0.7600 0.6408 0.5005
10 Ni 0.5000 0.5000 0.0000


# LiMg2Br

A geometry-optimized LiMg2Br structure (PBE, the Alexandria database).

Summary:
As for the polymorph energy (0 for the lowest one): 0.104 eV/atom. The space group is R-3m, No. 166. Its raw formation energy is -357 meV per atom. The calculation puts the total energy at -2.0512 eV/atom.

a b c (Å): 9.1104 9.1104 9.1104
angles (deg): 22.31 22.31 22.31
Element x y z (fractional)
1 Br 0.2500 0.2500 0.2500
2 Li 0.7500 0.7500 0.7500
3 Mg 0.9973 0.9973 0.9973
4 Mg 0.5027 0.5027 0.5027